VASP calculation (PBE+U) on crystalline MnAs2BrO at its relaxed geometry.

Structure (CIF):
```
data_MnAs2BrO
_chemical_formula_sum 'Mn1 As2 Br1 O1'
_cell_length_a 4.128
_cell_length_b 4.128
_cell_length_c 6.294
_cell_angle_alpha 90.00
_cell_angle_beta 90.00
_cell_angle_gamma 90.00
_space_group_name_H-M_alt 'P 4/m m m'
_space_group_IT_number 123
_space_group_name_Hall '-P 4 2'
loop_
_atom_site_label
_atom_site_type_symbol
_atom_site_fract_x
_atom_site_fract_y
_atom_site_fract_z
_atom_site_occupancy
Mn1 Mn 0.000 0.000 0.000 1
As1 As 0.000 0.500 0.500 1
Br1 Br 0.500 0.500 0.000 1
O1 O 0.500 0.500 0.500 1
```

## Properties
Total magnetic moment, μB/f.u.: 4.887
Total DFT energy (no corrections), eV per atom: -4.55
Crystal system: tetragonal